Here is crystalline MnZnN2O at its relaxed geometry from Alexandria. Energies are from PBE+U.

Its volume is 10.52 Å³ per atom. The value obtained for the total energy is -5.151 eV per atom. The calculation puts the size of the total moment at 0.2 μB/f.u.

It has space group P4/mmm (No. 123), with a = 3.527 Å, b = 3.527 Å, c = 4.231 Å, α = 90.00°, β = 90.00° and γ = 90.00°. The distinct sites, in fractional coordinates, are Mn at (0.000, 0.000, 0.000), Zn at (0.500, 0.500, 0.500), N at (0.000, 0.500, 0.000) and O at (0.000, 0.000, 0.500).